Here is crystalline NiCNO2 at its relaxed geometry from Alexandria. Energies are from PBE+U.

The structure in POSCAR format:
```
NiCNO2
1.0
3.652 0.000 0.000
0.000 3.652 0.000
0.000 0.000 3.736
Ni C N O
1 1 1 2
Direct
0.000 0.000 0.000
0.500 0.500 0.500
0.000 0.000 0.500
0.000 0.500 0.000
0.500 0.000 0.000
```

Properties
Calculated volume: 10.0 Å³/atom
SG: P4/mmm
M_tot: 1.5 μB per formula unit
Calculated total energy: -3.913 eV/atom